VASP calculation (PBE) on crystalline InSeN2F at its relaxed geometry.

Results
Symmetry ... P4/mmm (123)
Formation energy from raw total energies ... 749 meV/atom
Relative energy among the computed polymorphs ... 0.0 meV per atom
Magnetic moment ... 0.0000 μB per atom
DOS at the Fermi energy ... 1.2 states/eV/cell
Calculated total energy ... -4.200 eV per atom

Unit cell a=3.9368 b=3.9368 c=4.3883 alpha=90.00 beta=90.00 gamma=90.00
With the nearest neighbours (Å) after each atom.
Fractional positions:
1 F 0.0000 0.0000 0.5000  2 Se 2.19
2 Se 0.0000 0.0000 0.0000  4 N 1.97, 2 F 2.19
3 In 0.5000 0.5000 0.5000  4 F 2.78, 8 N 2.95
4 N 0.0000 0.5000 0.0000  2 Se 1.97
5 N 0.5000 0.0000 0.0000  2 Se 1.97

=====

VASP calculation (PBE) on crystalline LaEr2TmSe4 at its relaxed geometry.

Results
Symmetry ... P2/m (10)
Formation energy from raw total energies ... -1749 meV/atom
Magnetic moment ... 0.0000 μB per atom
DOS at the Fermi energy ... 4.5 states/eV/cell
Calculated total energy ... -5.807 eV per atom

Unit cell a=4.0353 b=7.0715 c=7.2310 alpha=71.41 beta=90.00 gamma=90.00
With the nearest neighbours (Å) after each atom.
Fractional positions:
1 Se 0.5000 0.2448 0.7409  3 Er 2.82-2.92, 2 Tm 2.89, 1 La 2.99
2 Se 0.0000 0.2362 0.2659  3 Er 2.81-2.92, 1 Tm 2.89, 2 La 2.99
3 Se 0.0000 0.7638 0.7341  3 Er 2.81-2.92, 1 Tm 2.89, 2 La 2.99
4 Se 0.5000 0.7552 0.2591  3 Er 2.82-2.92, 2 Tm 2.89, 1 La 2.99
5 Er 0.5000 0.0000 0.5000  6 Se 2.81-2.82
6 Er 0.0000 0.0000 0.0000  6 Se 2.92
7 La 0.5000 0.5000 0.0000  6 Se 2.99
8 Tm 0.0000 0.5000 0.5000  6 Se 2.89

=====

VASP calculation (PBE) on crystalline LiInPb at its relaxed geometry.

Results
Symmetry ... C2 (5)
Formation energy ... -0.122 eV/atom
Magnetic moment ... 0.0000 μB per atom
DOS at the Fermi energy ... 5.0 states/eV/cell
Calculated total energy ... -2.909 eV per atom

Unit cell a=13.3093 b=8.1339 c=8.1339 alpha=128.71 beta=144.36 gamma=35.64
With the nearest neighbours (Å) after each atom.
Fractional positions:
1 In 0.0338 0.7649 0.2601  4 Li 2.97-3.10, 1 In 3.19
2 In 0.2734 0.8136 0.3124  4 Li 2.83-3.17, 1 Pb 3.01
3 In 0.7266 0.3124 0.8136  4 Li 2.83-3.17, 1 Pb 3.01
4 In 0.9662 0.2601 0.7649  4 Li 2.97-3.10, 1 In 3.19
5 Li 0.3784 0.8476 0.8386  4 In 2.85-3.13, 3 Pb 2.87-3.09, 2 Li 3.12-3.13
6 Li 0.8856 0.3438 0.3494  4 In 2.83-3.17, 3 Pb 2.88-3.11, 2 Li 3.12-3.13
7 Li 0.6216 0.8386 0.8476  4 In 2.85-3.13, 3 Pb 2.87-3.09, 2 Li 3.12-3.13
8 Li 0.1144 0.3494 0.3438  4 In 2.83-3.17, 3 Pb 2.88-3.11, 2 Li 3.12-3.13
9 Pb 0.2169 0.3986 0.9005  2 Li 2.87-2.88, 1 In 3.01
10 Pb 0.7831 0.9005 0.3986  2 Li 2.87-2.88, 1 In 3.01
11 Pb 0.4730 0.4140 0.9194  4 Li 2.97-3.11
12 Pb 0.5270 0.9194 0.4140  4 Li 2.97-3.11

=====

VASP calculation (PBE) on crystalline AcGa2H6 at its relaxed geometry.

Results
Symmetry ... Fm-3m (225)
Magnetic moment ... 0.1110 μB per atom
DOS at the Fermi energy ... 2.8 states/eV/cell
Calculated total energy ... -2.698 eV per atom

Unit cell a=5.4841 b=5.4841 c=5.4841 alpha=60.00 beta=60.00 gamma=60.00
With the nearest neighbours (Å) after each atom.
Fractional positions:
1 H 0.3070 0.3070 0.6930  4 H 2.12
2 H 0.6930 0.6930 0.3070  4 H 2.12
3 H 0.6930 0.3070 0.3070  4 H 2.12
4 H 0.3070 0.6930 0.3070  4 H 2.12
5 H 0.6930 0.3070 0.6930  4 H 2.12
6 H 0.3070 0.6930 0.6930  4 H 2.12
7 Ga 0.7500 0.7500 0.7500  12 H 2.78
8 Ga 0.2500 0.2500 0.2500  12 H 2.78
9 Ac 0.0000 0.0000 0.0000  6 H 2.38

=====

VASP calculation (PBE) on crystalline CrCo2NiSe6 at its relaxed geometry.

Results
Symmetry ... C2/c (15)
Formation energy from raw total energies ... -254 meV/atom
Magnetic moment ... 0.2618 μB per atom
DOS at the Fermi energy ... 13.0 states/eV/cell
Calculated total energy ... -5.307 eV per atom

Unit cell a=6.1296 b=7.9197 c=7.9197 alpha=95.66 beta=76.98 gamma=76.98
With the nearest neighbours (Å) after each atom.
Fractional positions:
1 Ni 0.2500 0.2260 0.7740  6 Se 2.37-2.64
2 Ni 0.7500 0.7740 0.2260  6 Se 2.37-2.64
3 Cr 0.7500 0.0821 0.9179  6 Se 2.44-2.54
4 Cr 0.2500 0.9179 0.0821  6 Se 2.44-2.54
5 Se 0.1682 0.9359 0.7828  1 Co 2.41, 1 Ni 2.46, 2 Cr 2.50-2.54
6 Se 0.5777 0.5066 0.3038  3 Co 2.30-2.40
7 Se 0.3570 0.9216 0.3611  1 Co 2.33, 1 Ni 2.37, 1 Cr 2.44
8 Se 0.9223 0.6962 0.4934  3 Co 2.30-2.40
9 Se 0.3318 0.2172 0.0641  1 Co 2.41, 1 Ni 2.46, 2 Cr 2.50-2.54
10 Se 0.6682 0.7828 0.9359  1 Co 2.41, 1 Ni 2.46, 2 Cr 2.50-2.54
11 Se 0.0777 0.3038 0.5066  3 Co 2.30-2.40
12 Se 0.6430 0.0784 0.6389  1 Co 2.33, 1 Ni 2.37, 1 Cr 2.44
13 Se 0.4223 0.4934 0.6962  3 Co 2.30-2.40
14 Se 0.8318 0.0641 0.2172  1 Co 2.41, 1 Ni 2.46, 2 Cr 2.50-2.54
15 Se 0.1430 0.6389 0.0784  1 Co 2.33, 1 Ni 2.37, 1 Cr 2.44
16 Se 0.8570 0.3611 0.9216  1 Co 2.33, 1 Ni 2.37, 1 Cr 2.44
17 Co 0.7800 0.5320 0.7078  5 Se 2.30-2.41
18 Co 0.7200 0.2922 0.4680  5 Se 2.30-2.41
19 Co 0.2800 0.7078 0.5320  5 Se 2.30-2.41
20 Co 0.2200 0.4680 0.2922  5 Se 2.30-2.41

=====

VASP calculation (PBE) on crystalline TbEuTmAl at its relaxed geometry.

Results
Symmetry ... F-43m (216)
Formation energy ... -0.019 eV/atom
Magnetic moment ... 1.8314 μB per atom
DOS at the Fermi energy ... 4.3 states/eV/cell
Calculated total energy ... -5.798 eV per atom

Unit cell a=5.3828 b=5.3828 c=5.3828 alpha=60.00 beta=60.00 gamma=60.00
With the nearest neighbours (Å) after each atom.
Fractional positions:
1 Tm 0.2500 0.2500 0.2500  4 Al 3.30, 4 Eu 3.30
2 Al 0.0000 0.0000 0.0000  4 Tm 3.30, 4 Tb 3.30
3 Tb 0.7500 0.7500 0.7500  4 Eu 3.30, 4 Al 3.30
4 Eu 0.5000 0.5000 0.5000  4 Tb 3.30, 4 Tm 3.30

=====

Question: What is the formula in the fourth record?
Answer: AcGa2H6

=====

Question: What is the formula in the first record?
Answer: InSeN2F